This record from Alexandria describes crystalline LiFeF3 at its relaxed geometry. The functional is GGA+U.

energy relative to the lowest polymorph listed for this composition: 2.05 kJ/mol of atoms

Structure (POSCAR):
```
LiFeF3
1.0
5.354 0.000 0.000
2.656 4.682 0.000
2.670 0.017 9.709
Li Fe F
4 4 12
direct
0.000 0.000 0.000
0.069 0.501 0.859
0.260 0.497 0.499
0.831 0.995 0.360
0.250 0.322 0.179
0.498 0.824 0.680
0.585 0.661 0.181
0.835 0.163 0.678
0.098 0.140 0.813
0.206 0.636 0.312
0.230 0.832 0.567
0.299 0.987 0.071
0.439 0.488 0.787
0.546 0.980 0.285
0.587 0.138 0.546
0.625 0.340 0.072
0.767 0.841 0.787
0.871 0.330 0.291
0.900 0.482 0.573
0.983 0.639 0.046
```